[1]
Density functional theory data (PBE) for SrMg4Pt after structural relaxation.

Structure (POSCAR):
```
SrMg4Pt
1.0
4.2216 0.0000 0.0000
0.0000 7.8633 0.0000
0.0000 0.0000 9.0084
Mg Pt Sr
8 2 2
Direct
0.5000 0.7093 0.4317
0.5000 0.0405 0.2500
0.0000 0.0000 0.0000
0.5000 0.2907 0.9317
0.0000 0.0000 0.5000
0.5000 0.7093 0.0683
0.5000 0.2907 0.5683
0.5000 0.9595 0.7500
0.0000 0.1876 0.7500
0.0000 0.8124 0.2500
0.0000 0.4083 0.2500
0.0000 0.5917 0.7500
```

Summary:
ΔE to the lowest computed polymorph ... 0 kJ/mol of formula units
Space group ... Pmma
Calculated volume ... 24.92 A^3/atom

[2]
Density functional theory data (PBE) for SrMg2Pt after structural relaxation.

Structure (POSCAR):
```
SrMg2Pt
1.0
4.3037 0.0000 0.0000
0.0000 4.4024 0.0114
0.0000 4.4123 5.0537
Mg Pt Sr
2 1 1
Direct
0.0000 0.0000 0.0000
0.5000 0.5000 0.0000
0.5000 0.5000 0.5000
0.0000 0.0000 0.5000
```

Summary:
Space group ... P2/m
Calculated volume ... 23.88 A^3/atom

[3]
Density functional theory data (PBE) for SrMgPt after structural relaxation.

Structure (POSCAR):
```
SrMgPt
1.0
-5.7951 1.7099 1.6329
-4.5398 -0.3665 4.2923
0.3307 2.9005 2.1064
Pt Mg Sr
1 1 1
Direct
0.3612 0.3612 0.6388
0.9551 0.9551 0.0449
0.6837 0.6837 0.3163
```

Summary:
Space group ... I4mm
Calculated volume ... 24.70 A^3/atom

[4]
Density functional theory data (PBE) for SrMgPt after structural relaxation.

Structure (POSCAR):
```
SrMgPt
1.0
5.0185 0.0000 0.0000
2.5092 4.3461 0.0000
2.5092 1.4487 4.0976
Pt Mg Sr
1 1 1
Direct
0.5000 0.5000 0.5000
0.0000 0.0000 0.0000
0.2500 0.2500 0.2500
```

Summary:
Space group ... F-43m
Calculated volume ... 29.79 A^3/atom

[5]
Density functional theory data (PBE) for Sr3MgPt3 after structural relaxation.

Structure (POSCAR):
```
Sr3MgPt3
1.0
4.4617 0.0000 0.0000
-2.2309 5.5602 0.0000
0.0000 0.0000 14.5845
Sr Pt Mg
6 6 2
Direct
0.4946 0.9891 0.7500
0.2129 0.4258 0.8933
0.2129 0.4258 0.6067
0.7871 0.5742 0.1067
0.5054 0.0109 0.2500
0.7871 0.5742 0.3933
0.7991 0.5981 0.7500
0.9226 0.8453 0.9142
0.0774 0.1547 0.0858
0.0774 0.1547 0.4142
0.2009 0.4019 0.2500
0.9226 0.8453 0.5858
0.5000 0.0000 0.5000
0.5000 0.0000 0.0000
```

Summary:
Space group ... Cmcm
Calculated volume ... 25.84 A^3/atom

[6]
Density functional theory data (PBE) for SrMg2Pt9 after structural relaxation.

Structure (POSCAR):
```
SrMg2Pt9
1.0
5.1804 0.0000 1.5418
2.3608 4.6112 1.5418
0.0721 0.0441 9.2317
Pt Sr Mg
9 1 2
Direct
0.6669 0.6669 0.9993
0.5890 0.5890 0.7410
0.9189 0.4110 0.2590
0.4110 0.9189 0.2590
0.4110 0.4110 0.2590
0.3331 0.3331 0.0007
0.5000 0.5000 0.5000
0.0811 0.5890 0.7410
0.5890 0.0811 0.7410
0.0000 0.0000 0.0000
0.1449 0.1449 0.5653
0.8551 0.8551 0.4347
```

Summary:
Space group ... R-3m
Calculated volume ... 18.32 A^3/atom

[7]
Density functional theory data (PBE) for SrMg2Pt after structural relaxation.

Structure (POSCAR):
```
SrMg2Pt
1.0
6.3754 0.0138 0.0141
3.2430 5.4890 -0.0141
-4.1595 -3.8869 2.8698
Mg Pt Sr
2 1 1
Direct
0.9445 0.9445 0.0000
0.5555 0.5555 0.0000
0.7500 0.2500 0.5000
0.2500 0.7500 0.5000
```

Summary:
Space group ... Immm
Calculated volume ... 25.02 A^3/atom

[8]
Density functional theory data (PBE) for Sr2MgPt after structural relaxation.

Structure (POSCAR):
```
Sr2MgPt
1.0
4.5159 0.0000 0.0000
0.0000 4.7226 -0.0014
0.0000 2.3550 5.9430
Mg Sr Pt
1 2 1
Direct
0.0000 0.6794 0.5162
0.5000 0.2725 0.3304
0.0000 0.9851 0.9044
0.5000 0.5630 0.7490
```

Summary:
Space group ... Pm
Calculated volume ... 31.69 A^3/atom

[9]
Density functional theory data (PBE) for SrMg2Pt after structural relaxation.

Structure (POSCAR):
```
SrMg2Pt
1.0
-1.5261 -0.3036 5.0704
-1.2392 -5.1167 0.6432
4.4674 2.0750 -1.9663
Mg Pt Sr
2 1 1
Direct
0.5000 0.5000 0.0000
0.0000 0.0000 0.0000
0.2500 0.7500 0.5000
0.7500 0.2500 0.5000
```

Summary:
Space group ... I4/mmm
Calculated volume ... 22.35 A^3/atom

[10]
Density functional theory data (PBE) for Sr2MgPt after structural relaxation.

Structure (POSCAR):
```
Sr2MgPt
1.0
-1.1732 -0.0632 5.9686
0.7781 -5.4667 2.5522
3.3914 3.5163 -3.6246
Sr Pt Mg
2 1 1
Direct
0.0000 0.0000 0.0000
0.2500 0.7500 0.5000
0.7500 0.2500 0.5000
0.5000 0.5000 0.0000
```

Summary:
Space group ... I-4m2
Calculated volume ... 28.39 A^3/atom

[11]
Density functional theory data (PBE) for SrMgPt2 after structural relaxation.

Structure (POSCAR):
```
SrMgPt2
1.0
4.8609 0.0000 0.0000
2.4304 4.2096 0.0000
2.4304 1.4032 3.9689
Sr Pt Mg
1 2 1
Direct
0.7500 0.7500 0.7500
0.0000 0.0000 0.0000
0.2500 0.2500 0.2500
0.5000 0.5000 0.5000
```

Summary:
Space group ... F-43m
Calculated volume ... 20.30 A^3/atom

[12]
Density functional theory data (PBE) for Sr2MgPt after structural relaxation.

Structure (POSCAR):
```
Sr2MgPt
1.0
5.3110 0.0000 0.0000
2.6555 4.5995 0.0000
2.6555 1.5332 4.3364
Mg Pt Sr
1 1 2
Direct
0.5000 0.5000 0.5000
0.7500 0.7500 0.7500
0.0000 0.0000 0.0000
0.2500 0.2500 0.2500
```

Summary:
Space group ... F-43m
Calculated volume ... 26.48 A^3/atom

| no. | formation energy (meV/atom) | total magnetization (μB per formula unit) |
| --- | --- | --- |
| 1 | -441 | 0.00 |
| 2 | -279 | 0.00 |
| 3 | -542 | 0.00 |
| 4 | 96 | 0.00 |
| 5 | -816 | 0.00 |
| 6 | -546 | 0.00 |
| 7 | -427 | 0.00 |
| 8 | -492 | 0.00 |
| 9 | -301 | 0.00 |
| 10 | -210 | 0.00 |
| 11 | -353 | 0.00 |
| 12 | -185 | 0.00 |